Entry 1:
First-principles (meta-GGA SCAN) data for LiIO3 at its PBEsol-relaxed geometry, as listed in the Alexandria database.

Unit cell a=9.3862 b=9.3862 c=6.2370 alpha=90.00 beta=90.00 gamma=90.00
Sites, in units of the cell vectors:
Li (0.0812, 0.2542, 0.0930)
Li (0.2458, 0.0812, 0.4070)
Li (0.2542, 0.4188, 0.4070)
Li (0.4188, 0.2458, 0.0930)
Li (0.5812, 0.7542, 0.9070)
Li (0.7458, 0.5812, 0.5930)
Li (0.7542, 0.9188, 0.5930)
Li (0.9188, 0.7458, 0.9070)
I (0.0378, 0.7549, 0.3826)
I (0.2451, 0.5378, 0.8826)
I (0.2549, 0.9622, 0.8826)
I (0.4622, 0.7451, 0.3826)
I (0.5378, 0.2549, 0.6174)
I (0.7451, 0.0378, 0.1174)
I (0.7549, 0.4622, 0.1174)
I (0.9622, 0.2451, 0.6174)
O (0.0516, 0.1406, 0.8250)
O (0.0899, 0.2200, 0.4000)
O (0.1149, 0.6719, 0.9649)
O (0.1406, 0.4484, 0.6750)
O (0.1719, 0.8851, 0.4649)
O (0.2200, 0.4101, 0.1000)
O (0.2800, 0.0899, 0.1000)
O (0.3281, 0.6149, 0.4649)
O (0.3594, 0.0516, 0.6750)
O (0.3851, 0.8281, 0.9649)
O (0.4101, 0.2800, 0.4000)
O (0.4484, 0.3594, 0.8250)
O (0.5516, 0.6406, 0.1750)
O (0.5899, 0.7200, 0.6000)
O (0.6149, 0.1719, 0.0351)
O (0.6406, 0.9484, 0.3250)
O (0.6719, 0.3851, 0.5351)
O (0.7200, 0.9101, 0.9000)
O (0.7800, 0.5899, 0.9000)
O (0.8281, 0.1149, 0.5351)
O (0.8594, 0.5516, 0.3250)
O (0.8851, 0.3281, 0.0351)
O (0.9101, 0.7800, 0.6000)
O (0.9484, 0.8594, 0.1750)

## Properties
Symmetry: No. 86

***

Entry 2:
First-principles (meta-GGA SCAN) data for RbZn3B at its PBEsol-relaxed geometry, as listed in the Alexandria database.

Unit cell a=6.2474 b=6.2474 c=6.2474 alpha=90.00 beta=90.00 gamma=90.00
Sites, in units of the cell vectors:
Rb (0.0000, 0.0000, 0.0000)
Zn (0.0000, 0.0000, 0.5000)
Zn (0.0000, 0.5000, 0.0000)
Zn (0.5000, 0.0000, 0.0000)
B (0.5000, 0.5000, 0.5000)

## Properties
Symmetry: No. 221

***

Entry 3:
First-principles (meta-GGA SCAN) data for CsLaS2 at its PBEsol-relaxed geometry, as listed in the Alexandria database.

Unit cell a=5.2307 b=5.2307 c=5.2307 alpha=60.00 beta=60.00 gamma=60.00
Sites, in units of the cell vectors:
Cs (0.0000, 0.0000, 0.0000)
La (0.5000, 0.5000, 0.5000)
S (0.2500, 0.2500, 0.2500)
S (0.7500, 0.7500, 0.7500)

## Properties
Symmetry: No. 225

***

Entry 4:
First-principles (meta-GGA SCAN) data for MnCrPt at its PBEsol-relaxed geometry, as listed in the Alexandria database.

Unit cell a=5.6134 b=5.6134 c=5.6134 alpha=152.24 beta=152.24 gamma=39.66
Sites, in units of the cell vectors:
Mn (0.0000, 0.0000, 0.0000)
Cr (0.6400, 0.6400, 0.0000)
Pt (0.3197, 0.3197, 0.0000)

## Properties
Symmetry: No. 107
Distance to the lowest polymorph of the same formula: 0.073 eV per atom

***

Entry 5:
First-principles (meta-GGA SCAN) data for ZnInPb2 at its PBEsol-relaxed geometry, as listed in the Alexandria database.

Unit cell a=3.4148 b=3.4148 c=8.5635 alpha=90.00 beta=90.00 gamma=90.00
Sites, in units of the cell vectors:
Zn (0.0000, 0.0000, 0.0000)
In (0.5000, 0.5000, 0.1963)
Pb (0.0000, 0.0000, 0.4755)
Pb (0.5000, 0.5000, 0.7702)

## Properties
Symmetry: No. 99

***

Entry 6:
First-principles (meta-GGA SCAN) data for CoP2Se at its PBEsol-relaxed geometry, as listed in the Alexandria database.

Unit cell a=2.6019 b=2.6019 c=9.8207 alpha=90.00 beta=90.00 gamma=90.00
Sites, in units of the cell vectors:
Co (0.0000, 0.0000, 0.0000)
P (0.5000, 0.5000, 0.1533)
P (0.5000, 0.5000, 0.8467)
Se (0.0000, 0.0000, 0.5000)

## Properties
Symmetry: No. 123

***

Number 1: E_tot -12.620 eV per atom, magnetization 0.00 μB per cell, Fermi-level density of states 0.0 states/eV/f.u.. Number 2: E_tot -11.762 eV per atom, magnetization 1.90 μB per cell, Fermi-level density of states 5.9 states/eV/f.u.. Number 3: E_tot -26.679 eV per atom, magnetization 0.00 μB per cell, Fermi-level density of states 0.0 states/eV/f.u.. Number 4: E_tot -35.971 eV per atom, magnetization 0.31 μB per cell, Fermi-level density of states 1.4 states/eV/f.u.. Number 5: E_tot -49.489 eV per atom, magnetization 0.00 μB per cell, Fermi-level density of states 1.5 states/eV/f.u.. Number 6: E_tot -14.438 eV per atom, magnetization 0.97 μB per cell, Fermi-level density of states 0.7 states/eV/f.u..